1.
5
Lattice="-2.210 2.402 -2.264 -3.267 -1.207 1.910 0.695 4.357 3.943" Properties=species:S:1:pos:R:3 comment="ReTeIN2 (meta-GGA SCAN, PBEsol geometry)" mass_density_kg_m3=8335 e_form_raw_ev_per_atom=0.990 spacegroup="P4/mmm, No. 123" energy_ev_per_atom=-31.74 pbc="T T T"
I 0.348 2.179 1.972
Re 0.000 0.000 0.000
Te -2.391 2.776 1.794
N -1.634 -0.604 0.955
N -1.105 1.201 -1.132

=====

2.
5
Lattice="3.857 0.000 0.000 0.000 4.628 0.000 0.000 0.000 4.628" Properties=species:S:1:pos:R:3 comment="Zn2ReIN (meta-GGA SCAN, PBEsol geometry)" mass_density_kg_m3=9205 e_form_raw_ev_per_atom=0.887 spacegroup="P4/mmm, No. 123" energy_ev_per_atom=-27.94 pbc="T T T"
I 1.929 2.314 2.314
Re 1.929 0.000 0.000
Zn 0.000 0.000 2.314
Zn 0.000 2.314 0.000
N 0.000 0.000 0.000

=====

3.
5
Lattice="3.628 0.000 0.000 0.000 5.435 0.000 0.000 0.000 5.435" Properties=species:S:1:pos:R:3 comment="RhSI2N (meta-GGA SCAN, PBEsol geometry)" mass_density_kg_m3=6242 e_form_raw_ev_per_atom=0.759 spacegroup="P4/mmm, No. 123" energy_ev_per_atom=-24.48 pbc="T T T"
I 0.000 0.000 2.717
I 0.000 2.717 0.000
S 1.814 2.717 2.717
Rh 0.000 0.000 0.000
N 1.814 0.000 0.000

=====

4.
5
Lattice="-3.889 -2.011 -1.903 2.759 -2.534 -2.960 0.229 -3.395 3.120" Properties=species:S:1:pos:R:3 comment="SbRhI2N (meta-GGA SCAN, PBEsol geometry)" mass_density_kg_m3=7772 e_form_raw_ev_per_atom=1.333 spacegroup="P4/mmm, No. 123" energy_ev_per_atom=-29.43 pbc="T T T"
I 1.379 -1.267 -1.480
I -1.945 -1.006 -0.952
Sb 0.115 -1.697 1.560
Rh -0.451 -3.970 -0.872
N 0.000 0.000 0.000

=====

5.
5
Lattice="3.663 0.000 0.000 0.000 5.526 0.000 0.000 0.000 5.526" Properties=species:S:1:pos:R:3 comment="ScRhI2N (meta-GGA SCAN, PBEsol geometry)" mass_density_kg_m3=6171 polymorph_energy_mev_per_atom=0.0 e_form_raw_ev_per_atom=0.134 spacegroup="P4/mmm, No. 123" energy_ev_per_atom=-26.02 pbc="T T T"
I 0.000 0.000 2.763
I 0.000 2.763 0.000
Sc 1.831 2.763 2.763
Rh 0.000 0.000 0.000
N 1.831 0.000 0.000

=====

6.
5
Lattice="3.792 0.000 0.000 0.000 5.657 0.000 0.000 0.000 5.657" Properties=species:S:1:pos:R:3 comment="ScRhI2N (meta-GGA SCAN, PBEsol geometry)" mass_density_kg_m3=5688 polymorph_energy_mev_per_atom=223.5 e_form_raw_ev_per_atom=0.357 spacegroup="P4/mmm, No. 123" energy_ev_per_atom=-25.80 pbc="T T T"
I 0.000 0.000 2.828
I 0.000 2.828 0.000
Sc 0.000 0.000 0.000
Rh 1.896 2.828 2.828
N 1.896 0.000 0.000

=====

7.
5
Lattice="3.267 0.000 0.000 0.000 5.416 0.000 0.000 0.000 5.416" Properties=species:S:1:pos:R:3 comment="SiRhI2N (meta-GGA SCAN, PBEsol geometry)" mass_density_kg_m3=6911 e_form_raw_ev_per_atom=0.647 spacegroup="P4/mmm, No. 123" energy_ev_per_atom=-24.66 pbc="T T T"
I 0.000 0.000 2.708
I 0.000 2.708 0.000
Si 0.000 0.000 0.000
Rh 1.633 2.708 2.708
N 1.633 0.000 0.000

=====

8.
5
Lattice="-0.330 -4.047 2.171 1.614 -2.139 -3.743 5.963 0.684 2.180" Properties=species:S:1:pos:R:3 comment="SrRhIN2 (meta-GGA SCAN, PBEsol geometry)" mass_density_kg_m3=4238 e_form_raw_ev_per_atom=1.530 spacegroup="P4/mmm, No. 123" energy_ev_per_atom=-20.74 pbc="T T T"
I 2.982 0.342 1.090
Sr 0.000 0.000 0.000
Rh 3.624 -2.751 0.304
N 0.807 -1.070 -1.872
N -0.165 -2.023 1.085